--- w ---
Here is crystalline CsHfNbW2 at its relaxed geometry from Alexandria. Energies are from PBE.

```
CsHfNbW2
1.0
4.885 0.000 0.000
0.000 4.885 0.000
0.000 0.000 5.442
Cs Hf Nb W
1 1 1 2
Cartesian
0.000 0.000 0.000 Cs
2.442 2.442 0.000 Hf
0.000 0.000 2.721 Nb
0.000 2.442 2.721 W
2.442 0.000 2.721 W
```

## Properties
The magnetic moment is 0.000 μB per atom.

=====

--- x ---
Here is crystalline CsHfNbW2 at its relaxed geometry from Alexandria. Energies are from PBE.

```
CsHfNbW2
1.0
5.071 0.000 0.000
0.000 5.071 0.000
0.000 0.000 5.225
Cs Hf Nb W
1 1 1 2
Cartesian
0.000 0.000 0.000 Cs
2.535 2.535 2.612 Hf
2.535 2.535 0.000 Nb
0.000 2.535 2.612 W
2.535 0.000 2.612 W
```

## Properties
The magnetic moment is 0.157 μB per atom.

=====

Most stable one: x, least stable one: w.

=====

--- w ---
Here is crystalline CsHf3Ni at its relaxed geometry from Alexandria. Energies are from PBE.

```
CsHf3Ni
1.0
5.184 0.000 0.000
0.000 5.184 0.000
0.000 0.000 5.184
Cs Hf Ni
1 3 1
Cartesian
0.000 0.000 0.000 Cs
0.000 0.000 2.592 Hf
0.000 2.592 0.000 Hf
2.592 0.000 0.000 Hf
2.592 2.592 2.592 Ni
```

## Properties
The magnetic moment is 0.000 μB per atom.

=====

--- x ---
Here is crystalline CsHf3Ni at its relaxed geometry from Alexandria. Energies are from PBE.

```
CsHf3Ni
1.0
5.042 0.000 0.000
0.000 5.042 0.000
0.000 0.000 5.042
Cs Hf Ni
1 3 1
Cartesian
0.000 0.000 0.000 Cs
0.000 2.521 2.521 Hf
2.521 0.000 2.521 Hf
2.521 2.521 0.000 Hf
2.521 2.521 2.521 Ni
```

## Properties
The magnetic moment is 0.000 μB per atom.

=====

Most stable one: x, least stable one: w.

=====

--- w ---
Here is crystalline CsHf2Ni2 at its relaxed geometry from Alexandria. Energies are from PBE.

```
CsHf2Ni2
1.0
-2.198 2.198 7.842
2.198 -2.198 7.842
2.198 2.198 -7.842
Cs Hf Ni
1 2 2
Cartesian
0.000 0.000 0.000 Cs
2.198 0.000 3.921 Hf
0.000 2.198 3.921 Hf
0.000 0.000 5.230 Ni
0.000 0.000 10.454 Ni
```

## Properties
The magnetic moment is 0.000 μB per atom.

=====

--- x ---
Here is crystalline CsHf2Ni2 at its relaxed geometry from Alexandria. Energies are from PBE.

```
CsHf2Ni2
1.0
8.339 0.000 0.000
0.000 8.339 0.000
0.000 0.000 3.254
Cs Hf Ni
2 4 4
Cartesian
0.000 0.000 0.000 Cs
4.169 4.169 0.000 Cs
1.101 3.069 1.627 Hf
3.069 7.238 1.627 Hf
5.270 1.101 1.627 Hf
7.238 5.270 1.627 Hf
0.941 5.111 0.000 Ni
3.228 0.941 0.000 Ni
5.111 7.398 0.000 Ni
7.398 3.228 0.000 Ni
```

## Properties
The magnetic moment is 0.000 μB per atom.

=====

Most stable one: w, least stable one: x.

=====

--- w ---
Here is crystalline CsHf3O at its relaxed geometry from Alexandria. Energies are from PBE.

```
CsHf3O
1.0
4.668 0.000 0.000
0.000 4.668 0.000
0.000 0.000 4.668
Cs Hf O
1 3 1
Cartesian
0.000 0.000 0.000 Cs
0.000 2.334 2.334 Hf
2.334 0.000 2.334 Hf
2.334 2.334 0.000 Hf
2.334 2.334 2.334 O
```

## Properties
The magnetic moment is 0.000 μB per atom.

=====

--- x ---
Here is crystalline CsHf3O at its relaxed geometry from Alexandria. Energies are from PBE.

```
CsHf3O
1.0
5.258 0.000 0.000
0.000 5.258 0.000
0.000 0.000 5.258
Cs Hf O
1 3 1
Cartesian
0.000 0.000 0.000 Cs
0.000 0.000 2.629 Hf
0.000 2.629 0.000 Hf
2.629 0.000 0.000 Hf
2.629 2.629 2.629 O
```

## Properties
The magnetic moment is 0.001 μB per atom.

=====

Most stable one: w, least stable one: x.

=====

--- w ---
Here is crystalline CsHfPO2 at its relaxed geometry from Alexandria. Energies are from PBE.

```
CsHfPO2
1.0
4.198 0.000 0.000
0.000 4.198 0.000
0.000 0.000 5.424
Cs Hf P O
1 1 1 2
Cartesian
0.000 0.000 0.000 Cs
2.099 2.099 2.712 Hf
2.099 2.099 0.000 P
0.000 2.099 2.712 O
2.099 0.000 2.712 O
```

## Properties
The magnetic moment is 0.000 μB per atom.

=====

--- x ---
Here is crystalline CsHfPO2 at its relaxed geometry from Alexandria. Energies are from PBE.

```
CsHfPO2
1.0
4.096 0.000 0.000
0.000 4.096 0.000
0.000 0.000 7.152
Cs Hf P O
1 1 1 2
Cartesian
0.000 0.000 0.000 Cs
2.048 2.048 3.576 Hf
0.000 0.000 3.576 P
0.000 2.048 0.000 O
2.048 0.000 0.000 O
```

## Properties
The magnetic moment is 0.131 μB per atom.

=====

Most stable one: w, least stable one: x.

=====

--- w ---
Here is crystalline CsHfOs2 at its relaxed geometry from Alexandria. Energies are from PBE.

```
CsHfOs2
1.0
0.000 3.427 3.427
3.427 0.000 3.427
3.427 3.427 0.000
Cs Hf Os
1 1 2
Cartesian
0.000 0.000 0.000 Cs
3.427 3.427 3.427 Hf
1.713 1.713 1.713 Os
5.140 5.140 5.140 Os
```

## Properties
The magnetic moment is 0.000 μB per atom.

=====

--- x ---
Here is crystalline CsHfOs2 at its relaxed geometry from Alexandria. Energies are from PBE.

```
CsHfOs2
1.0
-2.538 2.538 9.067
2.538 -2.538 9.067
2.538 2.538 -9.067
Cs Hf Os
2 2 4
Cartesian
0.000 0.000 0.000 Cs
0.000 2.538 4.534 Cs
2.538 0.000 4.534 Hf
0.000 0.000 9.067 Hf
1.269 -0.131 6.800 Os
2.407 1.269 2.267 Os
1.269 2.669 -2.267 Os
0.131 1.269 11.334 Os
```

## Properties
The magnetic moment is 0.000 μB per atom.

=====

Most stable one: x, least stable one: w.

=====

--- w ---
Here is crystalline CsHf3Os at its relaxed geometry from Alexandria. Energies are from PBE.

```
CsHf3Os
1.0
5.206 0.000 0.000
0.000 5.206 0.000
0.000 0.000 5.206
Cs Hf Os
1 3 1
Cartesian
0.000 0.000 0.000 Cs
0.000 2.603 2.603 Hf
2.603 0.000 2.603 Hf
2.603 2.603 0.000 Hf
2.603 2.603 2.603 Os
```

## Properties
The magnetic moment is 0.000 μB per atom.

=====

--- x ---
Here is crystalline CsHf3Os at its relaxed geometry from Alexandria. Energies are from PBE.

```
CsHf3Os
1.0
5.071 0.000 0.000
0.000 5.071 0.000
0.000 0.000 5.071
Cs Hf Os
1 3 1
Cartesian
0.000 0.000 0.000 Cs
0.000 0.000 2.535 Hf
0.000 2.535 0.000 Hf
2.535 0.000 0.000 Hf
2.535 2.535 2.535 Os
```

## Properties
The magnetic moment is 0.000 μB per atom.

=====

Most stable one: w, least stable one: x.

=====

--- w ---
Here is crystalline CsHf2Os at its relaxed geometry from Alexandria. Energies are from PBE.

```
CsHf2Os
1.0
0.000 3.505 3.505
3.505 0.000 3.505
3.505 3.505 0.000
Cs Hf Os
1 2 1
Cartesian
0.000 0.000 0.000 Cs
1.753 1.753 1.753 Hf
5.258 5.258 5.258 Hf
3.505 3.505 3.505 Os
```

## Properties
The magnetic moment is 0.000 μB per atom.

=====

--- x ---
Here is crystalline CsHf2Os at its relaxed geometry from Alexandria. Energies are from PBE.

```
CsHf2Os
1.0
-3.341 3.341 7.461
3.341 -3.341 7.461
3.341 3.341 -7.461
Cs Hf Os
2 4 2
Cartesian
3.341 1.670 1.865 Cs
0.000 1.670 5.596 Cs
0.000 0.000 0.000 Hf
1.670 1.670 -3.731 Hf
1.670 -1.670 3.731 Hf
0.000 3.341 0.000 Hf
3.341 -1.670 5.596 Os
0.000 5.011 1.865 Os
```

## Properties
The magnetic moment is 0.000 μB per atom.

=====

Most stable one: w, least stable one: x.

=====

--- w ---
Here is crystalline CsHfP2 at its relaxed geometry from Alexandria. Energies are from PBE.

```
CsHfP2
1.0
0.000 3.556 3.556
3.556 0.000 3.556
3.556 3.556 0.000
Cs Hf P
1 1 2
Cartesian
0.000 0.000 0.000 Cs
3.556 3.556 3.556 Hf
1.778 1.778 1.778 P
5.334 5.334 5.334 P
```

## Properties
The magnetic moment is 0.000 μB per atom.

=====

--- x ---
Here is crystalline CsHfP2 at its relaxed geometry from Alexandria. Energies are from PBE.

```
CsHfP2
1.0
-3.258 3.258 7.319
3.258 -3.258 7.319
3.258 3.258 -7.319
Cs Hf P
2 2 4
Cartesian
3.258 1.629 1.830 Cs
0.000 1.629 5.489 Cs
3.258 -1.629 5.489 Hf
0.000 4.887 1.830 Hf
0.000 0.000 0.000 P
1.629 1.629 -3.659 P
1.629 -1.629 3.659 P
0.000 3.258 0.000 P
```

## Properties
The magnetic moment is 0.000 μB per atom.

=====

Most stable one: x, least stable one: w.

=====

--- w ---
Here is crystalline CsHfP2S at its relaxed geometry from Alexandria. Energies are from PBE.

```
CsHfP2S
1.0
5.129 0.000 0.000
0.000 5.129 0.000
0.000 0.000 5.107
Cs Hf P S
1 1 2 1
Cartesian
0.000 0.000 0.000 Cs
2.564 2.564 2.554 Hf
0.000 2.564 2.554 P
2.564 0.000 2.554 P
2.564 2.564 0.000 S
```

## Properties
The magnetic moment is 0.000 μB per atom.

=====

--- x ---
Here is crystalline CsHfP2S at its relaxed geometry from Alexandria. Energies are from PBE.

```
CsHfP2S
1.0
5.303 0.000 0.000
0.000 5.303 0.000
0.000 0.000 5.012
Cs Hf P S
1 1 2 1
Cartesian
0.000 0.000 0.000 Cs
2.652 2.652 2.506 Hf
0.000 2.652 0.000 P
2.652 0.000 0.000 P
0.000 0.000 2.506 S
```

## Properties
The magnetic moment is 0.000 μB per atom.

=====

Most stable one: w, least stable one: x.

=====

--- w ---
Here is crystalline Cs2HfPb at its relaxed geometry from Alexandria. Energies are from PBE.

```
Cs2HfPb
1.0
-7.281 7.281 2.816
7.281 -7.281 2.816
7.281 7.281 -2.816
Cs Hf Pb
4 2 2
Cartesian
-1.189 3.641 0.704 Cs
3.641 6.092 2.112 Cs
1.189 10.922 0.704 Cs
-3.641 8.470 2.112 Cs
7.281 0.000 1.408 Hf
0.000 0.000 2.816 Hf
0.000 0.000 0.000 Pb
0.000 7.281 1.408 Pb
```

## Properties
The magnetic moment is 0.020 μB per atom.

=====

--- x ---
Here is crystalline Cs2HfPb at its relaxed geometry from Alexandria. Energies are from PBE.

```
Cs2HfPb
1.0
0.000 4.388 4.388
4.388 0.000 4.388
4.388 4.388 0.000
Cs Hf Pb
2 1 1
Cartesian
2.194 2.194 2.194 Cs
6.582 6.582 6.582 Cs
0.000 0.000 0.000 Hf
4.388 4.388 4.388 Pb
```

## Properties
The magnetic moment is 0.000 μB per atom.

=====

Most stable one: w, least stable one: x.

=====

--- w ---
Here is crystalline CsHfPb3 at its relaxed geometry from Alexandria. Energies are from PBE.

```
CsHfPb3
1.0
5.752 0.000 0.000
0.000 5.752 0.000
0.000 0.000 5.752
Cs Hf Pb
1 1 3
Cartesian
0.000 0.000 0.000 Cs
2.876 2.876 2.876 Hf
0.000 2.876 2.876 Pb
2.876 0.000 2.876 Pb
2.876 2.876 0.000 Pb
```

## Properties
The magnetic moment is 0.000 μB per atom.

=====

--- x ---
Here is crystalline CsHfPb3 at its relaxed geometry from Alexandria. Energies are from PBE.

```
CsHfPb3
1.0
6.029 0.000 0.000
0.000 6.029 0.000
0.000 0.000 6.029
Cs Hf Pb
1 1 3
Cartesian
0.000 0.000 0.000 Cs
3.014 3.014 3.014 Hf
0.000 0.000 3.014 Pb
0.000 3.014 0.000 Pb
3.014 0.000 0.000 Pb
```

## Properties
The magnetic moment is 0.000 μB per atom.

=====

Most stable one: w, least stable one: x.

=====

--- w ---
Here is crystalline CsHfPd3 at its relaxed geometry from Alexandria. Energies are from PBE.

```
CsHfPd3
1.0
5.147 0.000 0.000
0.000 5.147 0.000
0.000 0.000 5.147
Cs Hf Pd
1 1 3
Cartesian
0.000 0.000 0.000 Cs
2.574 2.574 2.574 Hf
0.000 0.000 2.574 Pd
0.000 2.574 0.000 Pd
2.574 0.000 0.000 Pd
```

## Properties
The magnetic moment is 0.191 μB per atom.

=====

--- x ---
Here is crystalline CsHfPd3 at its relaxed geometry from Alexandria. Energies are from PBE.

```
CsHfPd3
1.0
5.160 0.000 0.000
0.000 5.160 0.000
0.000 0.000 5.160
Cs Hf Pd
1 1 3
Cartesian
0.000 0.000 0.000 Cs
2.580 2.580 2.580 Hf
0.000 2.580 2.580 Pd
2.580 0.000 2.580 Pd
2.580 2.580 0.000 Pd
```

## Properties
The magnetic moment is 0.000 μB per atom.

=====

Most stable one: x, least stable one: w.

=====

--- w ---
Here is crystalline CsHfPt3 at its relaxed geometry from Alexandria. Energies are from PBE.

```
CsHfPt3
1.0
5.099 0.000 0.000
0.000 5.099 0.000
0.000 0.000 5.099
Cs Hf Pt
1 1 3
Cartesian
0.000 0.000 0.000 Cs
2.550 2.550 2.550 Hf
0.000 0.000 2.550 Pt
0.000 2.550 0.000 Pt
2.550 0.000 0.000 Pt
```

## Properties
The magnetic moment is 0.000 μB per atom.

=====

--- x ---
Here is crystalline CsHfPt3 at its relaxed geometry from Alexandria. Energies are from PBE.

```
CsHfPt3
1.0
5.161 0.000 0.000
0.000 5.161 0.000
0.000 0.000 5.161
Cs Hf Pt
1 1 3
Cartesian
0.000 0.000 0.000 Cs
2.581 2.581 2.581 Hf
0.000 2.581 2.581 Pt
2.581 0.000 2.581 Pt
2.581 2.581 0.000 Pt
```

## Properties
The magnetic moment is 0.000 μB per atom.

=====

Most stable one: x, least stable one: w.